Entry i
4
Lattice="5.3404 -6.7049 2.6551 7.3394 -5.1581 -0.2281 7.5287 -3.6187 3.2785" Properties=species:S:1:pos:R:3 comment="NaPBr2 GGA-PBE relaxed" sg="R-3m (166)" pbc="T T T"
Br 1.9286 -1.4775 0.5445
Br 18.2799 -14.0043 5.1610
P 0.0000 0.0000 0.0000
Na 10.1042 -7.7409 2.8527

Entry ii
4
Lattice="0.0000 3.6981 3.6981 3.6981 0.0000 3.6981 3.6981 3.6981 0.0000" Properties=species:S:1:pos:R:3 comment="NaPBr2 GGA-PBE relaxed" sg="Fm-3m (225)" pbc="T T T"
Br 1.8491 1.8491 1.8491
Br 5.5472 5.5472 5.5472
Na 0.0000 0.0000 0.0000
P 3.6981 3.6981 3.6981

It comes down to entry i, which is 32.3 kJ/mol of atoms more stable than the next structure.